# ThNbAl4, optimized geometry, DFT PBE-GGA
data_ThNbAl4
_cell_length_a 7.7014
_cell_length_b 7.7014
_cell_length_c 7.7014
_cell_angle_alpha 90.00
_cell_angle_beta 90.00
_cell_angle_gamma 90.00
_space_group_name_H-M_alt 'F -4 3 m'
_space_group_IT_number 216
_space_group_name_Hall 'F -4 2 3'
loop_
_atom_site_label
_atom_site_type_symbol
_atom_site_fract_x
_atom_site_fract_y
_atom_site_fract_z
Th1 Th 0.0000 0.0000 0.0000
Nb1 Nb 0.2500 0.2500 0.2500
Al1 Al 0.1248 0.1248 0.6248
# Calculated total energy: -34.0 eV/f.u.
# Energy of formation: -0.26 eV per atom
# ρ: 6.29 g/cm3
# Crystal system: cubic
# DOS at the Fermi energy: 0.369 states/eV per atom